Computed, not measured: a geometry-optimized Dy5Ho2Tm4 structure at the GGA-PBE level of DFT.

extended XYZ file:
```
11
Lattice="5.446 -3.619 0.000 5.446 3.619 0.000 -2.702 0.000 8.710" Properties=species:S:1:pos:R:3 pbc="T T T"
Dy 0.000 0.000 0.000
Dy 2.749 1.597 6.299
Dy 5.440 1.597 2.411
Dy 2.749 -1.597 6.299
Dy 5.440 -1.597 2.411
Ho -0.084 0.000 5.408
Ho 8.274 0.000 3.302
Tm 3.448 0.000 0.008
Tm 2.594 0.000 3.300
Tm 5.596 0.000 5.410
Tm 4.742 0.000 8.702
```

Calculated values
N(E_F) = 18.32 states/eV/cell
Total moment = 0.00 μB per atom
DFT formation energy = 13.9 kJ/mol of atoms
Space group = C2/m (12)
Polymorph energy (0 for the lowest one) = 0.000 eV/f.u.